(1)
MnAlW2 after structural relaxation. Source: Alexandria, functional GGA-PBE.

The space group is R-3m (No. 166, hexagonal axes) and the conventional cell measures 2.7876, 2.7876 and 26.3766 Å, with angles of 90.00, 90.00 and 120.00 degrees. Symmetry generates all atoms from Mn at (0.0000, 0.0000, 0.0000), Al at (0.0000, 0.0000, 0.5000) and W at (0.0000, 0.0000, 0.2540).

The calculation puts the density of states at the Fermi level at 16.3 states/eV per cell. Its formation energy is 0.2393 eV/atom. For the density, the calculation gives 12.62 g/cm3. The calculation puts the magnetic moment at 0.00 μB per formula unit.

***

(2)
Mn3AlW after structural relaxation. Source: Alexandria, functional GGA-PBE.

The space group is Pm-3m (No. 221) and the conventional cell measures 4.5700, 4.5700 and 4.5700 Å, with angles of 90.00, 90.00 and 90.00 degrees. Symmetry generates all atoms from Mn at (0.0000, 0.0000, 0.5000), Al at (0.5000, 0.5000, 0.5000) and W at (0.0000, 0.0000, 0.0000).

The calculation puts the density of states at the Fermi level at 4.9 states/eV per cell. The energy above the most stable polymorph in this dataset is 0 meV/atom. Its formation energy is 1.3624 eV/atom. For the density, the calculation gives 6.54 g/cm3. The calculation puts the magnetic moment at 6.75 μB per formula unit.

***

(3)
MnAlW2 after structural relaxation. Source: Alexandria, functional GGA-PBE.

The space group is Pm (No. 6) and the conventional cell measures 2.7060, 4.3368 and 5.0707 Å, with angles of 90.00, 99.57 and 90.00 degrees. Symmetry generates all atoms from Mn at (0.0000, 0.0000, 0.0000), Al at (0.1731, 0.5000, 0.7526), W at (0.5318, 0.0000, 0.5082) and W at (0.7453, 0.5000, 0.2386).

The calculation puts the density of states at the Fermi level at 2.5 states/eV per cell. Its formation energy is 0.0304 eV/atom. For the density, the calculation gives 12.72 g/cm3. The calculation puts the magnetic moment at 1.55 μB per formula unit.

***

(4)
MnAlW after structural relaxation. Source: Alexandria, functional GGA-PBE.

The space group is Fmm2 (No. 42) and the conventional cell measures 3.4303, 4.1971 and 11.8745 Å, with angles of 90.00, 90.00 and 90.00 degrees. Symmetry generates all atoms from Mn at (0.0000, 0.0000, 0.0000), Al at (0.0000, 0.0000, 0.6544) and W at (0.0000, 0.0000, 0.3330).

The calculation puts the density of states at the Fermi level at 6.4 states/eV per cell. The energy above the most stable polymorph in this dataset is 154 meV/atom. Its formation energy is 0.0162 eV/atom. For the density, the calculation gives 10.33 g/cm3. The calculation puts the magnetic moment at 1.83 μB per formula unit.

***

Please write out number 3 again, unchanged.
MnAlW2 after structural relaxation. Source: Alexandria, functional GGA-PBE.

The space group is Pm (No. 6) and the conventional cell measures 2.7060, 4.3368 and 5.0707 Å, with angles of 90.00, 99.57 and 90.00 degrees. Symmetry generates all atoms from Mn at (0.0000, 0.0000, 0.0000), Al at (0.1731, 0.5000, 0.7526), W at (0.5318, 0.0000, 0.5082) and W at (0.7453, 0.5000, 0.2386).

The calculation puts the density of states at the Fermi level at 2.5 states/eV per cell. Its formation energy is 0.0304 eV/atom. For the density, the calculation gives 12.72 g/cm3. The calculation puts the magnetic moment at 1.55 μB per formula unit.

***

Which value of density does entry 4 give?
10.33 g/cm3

***

What is the formula in the fourth record?
MnAlW

***

Please write out number 2 again, unchanged.
Mn3AlW after structural relaxation. Source: Alexandria, functional GGA-PBE.

The space group is Pm-3m (No. 221) and the conventional cell measures 4.5700, 4.5700 and 4.5700 Å, with angles of 90.00, 90.00 and 90.00 degrees. Symmetry generates all atoms from Mn at (0.0000, 0.0000, 0.5000), Al at (0.5000, 0.5000, 0.5000) and W at (0.0000, 0.0000, 0.0000).

The calculation puts the density of states at the Fermi level at 4.9 states/eV per cell. The energy above the most stable polymorph in this dataset is 0 meV/atom. Its formation energy is 1.3624 eV/atom. For the density, the calculation gives 6.54 g/cm3. The calculation puts the magnetic moment at 6.75 μB per formula unit.